First-principles (PBE) data for an optimized crystal structure of Ta2FeHgS, as listed in Alexandria.

- formation energy without anion corrections (eV/atom) = 0.937
- final energy (eV per cell) = -31.91
- Fermi-level density of states (states/eV/cell) = 6.30
- symmetry = P4/mmm (123)

The structure in extended XYZ format:
```
5
Lattice="4.520 0.000 0.000 0.000 4.520 0.000 0.000 0.000 4.939" Properties=species:S:1:pos:R:3 pbc="T T T"
Ta 0.000 2.260 0.000
Ta 2.260 0.000 0.000
Fe 0.000 0.000 2.469
Hg 2.260 2.260 2.469
S 2.260 2.260 0.000
```